Here is Rb4WS3O14 after structural relaxation from the Alexandria database. Energies are from PBE with a Hubbard U.

Lattice parameters (Å, degrees): 9.915 11.045 14.343 90.00 90.00 89.93
Element x y z (fractional)
O 0.468 0.052 0.158
S 0.421 0.695 0.482
W 0.667 0.584 0.618
O 0.935 0.075 0.368
O 0.032 0.448 0.658
O 0.209 0.236 0.858
Rb 0.308 0.016 0.485
Rb 0.189 0.160 0.187
W 0.833 0.916 0.118
O 0.698 0.994 0.201
O 0.991 0.649 0.723
O 0.133 0.137 0.623
O 0.791 0.239 0.984
Rb 0.508 0.203 0.991
O 0.532 0.948 0.842
O 0.248 0.437 0.490
O 0.748 0.937 0.010
O 0.534 0.556 0.732
O 0.466 0.444 0.268
Rb 0.992 0.297 0.491
O 0.291 0.264 0.358
O 0.484 0.209 0.541
O 0.035 0.533 0.178
O 0.020 0.884 0.062
Rb 0.734 0.245 0.274
O 0.980 0.116 0.938
S 0.921 0.195 0.018
O 0.405 0.613 0.399
O 0.209 0.761 0.016
O 0.984 0.709 0.959
S 0.967 0.950 0.340
O 0.016 0.291 0.041
Rb 0.311 0.340 0.687
O 0.291 0.739 0.516
O 0.520 0.384 0.438
Rb 0.008 0.703 0.509
O 0.535 0.033 0.322
S 0.959 0.519 0.728
Rb 0.192 0.484 0.985
O 0.095 0.887 0.899
O 0.009 0.351 0.277
O 0.595 0.387 0.601
O 0.752 0.563 0.510
O 0.709 0.736 0.642
O 0.709 0.261 0.484
O 0.968 0.552 0.342
O 0.465 0.967 0.678
Rb 0.689 0.660 0.313
S 0.579 0.305 0.518
O 0.791 0.764 0.142
O 0.252 0.063 0.990
S 0.541 0.981 0.228
Rb 0.692 0.984 0.515
Rb 0.234 0.745 0.226
S 0.459 0.019 0.772
O 0.965 0.467 0.822
Rb 0.808 0.516 0.015
O 0.065 0.925 0.632
W 0.333 0.416 0.382
O 0.367 0.363 0.123
O 0.491 0.149 0.777
S 0.041 0.481 0.272
Rb 0.811 0.840 0.813
O 0.966 0.944 0.232
O 0.867 0.863 0.377
O 0.633 0.637 0.877
O 0.106 0.914 0.366
S 0.467 0.450 0.160
O 0.516 0.791 0.459
Rb 0.492 0.797 0.009
O 0.394 0.586 0.866
O 0.509 0.851 0.223
O 0.435 0.575 0.132
Rb 0.266 0.755 0.726
O 0.565 0.425 0.868
O 0.302 0.006 0.799
O 0.905 0.113 0.101
O 0.606 0.414 0.134
S 0.033 0.050 0.660
S 0.533 0.550 0.840
O 0.198 0.494 0.299
O 0.802 0.506 0.701
S 0.079 0.805 0.982
O 0.034 0.056 0.768
Rb 0.766 0.255 0.774
O 0.480 0.616 0.562
W 0.167 0.084 0.882
O 0.894 0.086 0.634

## Properties
- Final energy: -132.26 eV per formula unit
- Fermi-level density of states: 0.00 states/eV per cell
- Crystal system: monoclinic
- M_tot: 0.530 μB/cell
- Symmetry: P2_1/c, No. 14
- Theoretical density: 3.58 Mg/m³